12
Lattice="6.409 0.000 0.000 -3.204 5.550 0.000 0.000 0.000 8.984" Properties=species:S:1:pos:R:3 comment="Ac3Cd2InAu6 | the Alexandria database | PBE-GGA | optimized geometry" sg="P-3m1, No. 164" pbc="T T T"
Ac 0.000 0.000 0.000
Ac 0.000 3.700 5.571
Ac 3.204 1.850 3.413
Cd 0.000 3.700 0.054
Cd 3.204 1.850 8.930
In 0.000 0.000 4.492
Au 0.000 2.031 2.515
Au -1.445 4.534 2.515
Au 1.759 1.016 6.469
Au 1.445 4.534 2.515
Au 4.649 1.016 6.469
Au 3.204 3.519 6.469

12
Lattice="6.465 0.000 0.000 -3.233 5.599 0.000 0.000 0.000 8.915" Properties=species:S:1:pos:R:3 comment="Ac3CdIn2Au6 | the Alexandria database | PBE-GGA | optimized geometry" sg="P-3m1, No. 164" pbc="T T T"
Ac 0.000 0.000 0.000
Ac 0.000 3.733 5.582
Ac 3.233 1.866 3.332
Cd 0.000 0.000 4.457
In 0.000 3.733 0.126
In 3.233 1.866 8.788
Au 0.000 2.044 2.516
Au -1.462 4.577 2.516
Au 1.770 1.022 6.398
Au 1.462 4.577 2.516
Au 4.695 1.022 6.398
Au 3.233 3.555 6.398

10
Lattice="8.135 0.000 0.000 0.000 4.900 0.000 -2.736 0.000 7.754" Properties=species:S:1:pos:R:3 comment="Ac2CdInAu | the Alexandria database | PBE-GGA | optimized geometry" sg="P2_1/m, No. 11" pbc="T T T"
Ac -0.230 1.225 1.537
Ac 1.148 3.675 4.791
Ac 4.251 1.225 2.963
Ac 5.630 3.675 6.217
Cd 0.149 1.225 7.350
Cd 5.251 3.675 0.404
In 2.292 3.675 1.337
In 3.107 1.225 6.417
Au -1.013 1.225 4.674
Au 6.412 3.675 3.080

8
Lattice="2.870 1.657 9.348 -2.870 1.657 9.348 0.000 -3.313 9.348" Properties=species:S:1:pos:R:3 comment="Ac4CdIn2Au | the Alexandria database | PBE-GGA | optimized geometry" sg="R-3m, No. 166" pbc="T T T"
Ac 0.000 0.000 3.364
Ac 0.000 0.000 10.378
Ac 0.000 0.000 17.666
Ac 0.000 0.000 24.680
Cd 0.000 0.000 14.022
In 0.000 0.000 6.875
In 0.000 0.000 21.169
Au 0.000 0.000 0.000

16
Lattice="7.519 0.000 0.000 0.000 7.519 0.000 0.000 0.000 7.519" Properties=species:S:1:pos:R:3 comment="AcCdInAu | the Alexandria database | PBE-GGA | optimized geometry" sg="F-43m, No. 216" pbc="T T T"
Ac 0.000 0.000 0.000
Ac 0.000 3.759 3.759
Ac 3.759 0.000 3.759
Ac 3.759 3.759 0.000
Cd 1.880 1.880 5.639
Cd 1.880 5.639 1.880
Cd 5.639 1.880 1.880
Cd 5.639 5.639 5.639
In 0.000 0.000 3.759
In 0.000 3.759 0.000
In 3.759 0.000 0.000
In 3.759 3.759 3.759
Au 1.880 1.880 1.880
Au 1.880 5.639 5.639
Au 5.639 1.880 5.639
Au 5.639 5.639 1.880

12
Lattice="4.440 -2.885 0.000 4.440 2.885 0.000 -3.655 0.000 11.678" Properties=species:S:1:pos:R:3 comment="AcCd8InAu2 | the Alexandria database | PBE-GGA | optimized geometry" sg="C2/m, No. 12" pbc="T T T"
Ac 0.000 0.000 0.000
Cd 1.509 1.433 8.268
Cd -0.740 0.000 9.818
Cd 3.717 1.433 3.410
Cd 1.331 0.000 5.109
Cd 3.896 0.000 6.569
Cd 1.509 -1.433 8.268
Cd 5.966 0.000 1.860
Cd 3.717 -1.433 3.410
In -1.827 0.000 5.839
Au 3.051 0.000 1.003
Au 2.176 0.000 10.675

ΔE_f
In order: -49.9; -51.9; -52.9; -44.7; -46.0; -15.8
Unit: kJ per mole of atoms
Total energy
In order: -3.56; -3.74; -3.58; -3.73; -3.24; -1.89
Unit: eV per atom
Volume
In order: 319.5; 322.7; 309.1; 266.6; 425.0; 299.3
Unit: Å³/cell